## CaHgGe (PBE)

Data for CaHgGe after structural relaxation.

Summary:
M_tot = 0.00 μB/atom
ΔH_f (0 K) = -0.31 eV per atom
electronic total energy = -15.73 eV/cell

Cell and atoms, written as CIF:
```
data_CaHgGe
_cell_length_a 4.718
_cell_length_b 5.383
_cell_length_c 6.483
_cell_angle_alpha 101.36
_cell_angle_beta 90.11
_cell_angle_gamma 64.17
_symmetry_space_group_name_H-M 'P 1'
_symmetry_Int_Tables_number 1
loop_
_symmetry_equiv_pos_as_xyz
'x,y,z'
loop_
_atom_site_label
_atom_site_fract_x
_atom_site_fract_y
_atom_site_fract_z
Ge1 0.486 0.028 0.089
Hg1 0.815 0.371 0.909
Ge2 0.486 0.028 0.590
Hg2 0.159 0.685 0.271
Ca1 0.835 0.331 0.398
Ca2 0.138 0.725 0.781
```